(1)
A PBEsol-optimized structure of Li2FeAg2. Source: Alexandria via LeMat-Bulk, functional SCAN.

Summary:
Symmetry: No. 139
Energy of formation (eV per atom): 0.378

Cell lengths 4.5087, 4.5087, 7.2647 Å; angles 90.00, 90.00, 90.00 degrees
Fractional positions:
Li  0.0000  0.0000  0.1370
Li  0.0000  0.0000  0.8630
Li  0.5000  0.5000  0.3630
Li  0.5000  0.5000  0.6370
Fe  0.0000  0.0000  0.5000
Fe  0.5000  0.5000  0.0000
Ag  0.0000  0.5000  0.2500
Ag  0.0000  0.5000  0.7500
Ag  0.5000  0.0000  0.2500
Ag  0.5000  0.0000  0.7500

---

(2)
A PBEsol-optimized structure of LiFeAg. Source: Alexandria via LeMat-Bulk, functional SCAN.

Summary:
Symmetry: No. 216
Energy of formation (eV per atom): 0.564

Cell lengths 5.9109, 5.9109, 5.9109 Å; angles 90.00, 90.00, 90.00 degrees
Fractional positions:
Li  0.0000  0.0000  0.0000
Li  0.0000  0.5000  0.5000
Li  0.5000  0.0000  0.5000
Li  0.5000  0.5000  0.0000
Fe  0.0000  0.0000  0.5000
Fe  0.0000  0.5000  0.0000
Fe  0.5000  0.0000  0.0000
Fe  0.5000  0.5000  0.5000
Ag  0.2500  0.2500  0.2500
Ag  0.2500  0.7500  0.7500
Ag  0.7500  0.2500  0.7500
Ag  0.7500  0.7500  0.2500

---

(3)
A PBEsol-optimized structure of LiFeAg2. Source: Alexandria via LeMat-Bulk, functional SCAN.

Summary:
Symmetry: No. 99
Energy of formation (eV per atom): 0.179

Cell lengths 2.7066, 2.7066, 8.1168 Å; angles 90.00, 90.00, 90.00 degrees
Fractional positions:
Li  0.0000  0.0000  0.0000
Fe  0.5000  0.5000  0.7588
Ag  0.0000  0.0000  0.5180
Ag  0.5000  0.5000  0.2475

---

(4)
A PBEsol-optimized structure of LiFe2Ag. Source: Alexandria via LeMat-Bulk, functional SCAN.

Summary:
Symmetry: No. 47
Energy of formation (eV per atom): 0.207

Cell lengths 2.7932, 4.0248, 4.5104 Å; angles 90.00, 90.00, 90.00 degrees
Fractional positions:
Li  0.0000  0.0000  0.0000
Fe  0.0000  0.5000  0.5000
Fe  0.5000  0.0000  0.5000
Ag  0.5000  0.5000  0.0000

---

(5)
A PBEsol-optimized structure of LiZrFe2Ag. Source: Alexandria via LeMat-Bulk, functional SCAN.

Summary:
Symmetry: No. 123
Energy of formation (eV per atom): 1.389

Cell lengths 4.4135, 4.4135, 4.8521 Å; angles 90.00, 90.00, 90.00 degrees
Fractional positions:
Li  0.0000  0.0000  0.0000
Zr  0.0000  0.0000  0.5000
Fe  0.0000  0.5000  0.5000
Fe  0.5000  0.0000  0.5000
Ag  0.5000  0.5000  0.0000

---

(6)
A PBEsol-optimized structure of MgFeAg2. Source: Alexandria via LeMat-Bulk, functional SCAN.

Summary:
Symmetry: No. 216
Energy of formation (eV per atom): 0.186

Cell lengths 6.3279, 6.3279, 6.3279 Å; angles 90.00, 90.00, 90.00 degrees
Fractional positions:
Mg  0.0000  0.0000  0.0000
Mg  0.0000  0.5000  0.5000
Mg  0.5000  0.0000  0.5000
Mg  0.5000  0.5000  0.0000
Fe  0.2500  0.2500  0.7500
Fe  0.2500  0.7500  0.2500
Fe  0.7500  0.2500  0.2500
Fe  0.7500  0.7500  0.7500
Ag  0.0000  0.0000  0.5000
Ag  0.0000  0.5000  0.0000
Ag  0.2500  0.2500  0.2500
Ag  0.2500  0.7500  0.7500
Ag  0.5000  0.0000  0.0000
Ag  0.5000  0.5000  0.5000
Ag  0.7500  0.2500  0.7500
Ag  0.7500  0.7500  0.2500

---

(7)
A PBEsol-optimized structure of MgFeAg2. Source: Alexandria via LeMat-Bulk, functional SCAN.

Summary:
Symmetry: No. 47
Energy of formation (eV per atom): 0.098

Cell lengths 2.8839, 3.7560, 5.8525 Å; angles 90.00, 90.00, 90.00 degrees
Fractional positions:
Mg  0.0000  0.0000  0.0000
Fe  0.0000  0.0000  0.5000
Ag  0.5000  0.5000  0.2635
Ag  0.5000  0.5000  0.7365

---

(8)
A PBEsol-optimized structure of MnFeAg. Source: Alexandria via LeMat-Bulk, functional SCAN.

Summary:
Symmetry: No. 107
Energy of formation (eV per atom): 0.423

Cell lengths 2.6341, 2.6341, 10.7487 Å; angles 90.00, 90.00, 90.00 degrees
Fractional positions:
Mn  0.0000  0.0000  0.0000
Mn  0.5000  0.5000  0.5000
Fe  0.0000  0.0000  0.3818
Fe  0.5000  0.5000  0.8818
Ag  0.0000  0.0000  0.6920
Ag  0.5000  0.5000  0.1920